The following is a DFT calculation (GGA-PBE) of crystalline Hg3PdN at its relaxed geometry.

```
Hg3PdN
1.0
-4.498 0.529 -1.047
-0.897 -4.225 1.718
-0.756 1.864 4.190
Hg Pd N
3 1 1
Direct
0.000 0.500 0.000
0.000 0.000 0.500
0.500 0.000 0.000
0.500 0.500 0.500
0.000 0.000 0.000
```

Results
space-group type: Pm-3m (221)
total DFT energy (no corrections): -1.9890 eV/atom

The following is a DFT calculation (GGA-PBE) of crystalline Ba4LiPr3S8 at its relaxed geometry.

```
Ba4LiPr3S8
1.0
8.542 0.000 0.000
0.000 8.672 0.085
-4.271 -4.267 6.043
Ba Li Pr S
4 1 3 8
Direct
0.500 0.000 0.000
0.500 0.000 0.500
0.000 0.000 0.000
0.000 0.000 0.500
0.000 0.500 0.000
0.500 0.500 0.000
0.500 0.500 0.500
0.000 0.500 0.500
0.242 0.721 0.979
0.242 0.721 0.483
0.259 0.277 0.518
0.738 0.721 0.979
0.262 0.279 0.021
0.741 0.723 0.482
0.758 0.279 0.517
0.758 0.279 0.021
```

Results
space-group type: R-3m (166)
total DFT energy (no corrections): -5.5082 eV/atom

The following is a DFT calculation (GGA-PBE) of crystalline Zn4OsAu at its relaxed geometry.

```
Zn4OsAu
1.0
-4.150 -2.739 -0.141
-2.799 -0.487 4.083
-4.449 2.211 0.244
Zn Os Au
4 1 1
Direct
0.626 0.626 0.123
0.626 0.123 0.626
0.626 0.626 0.626
0.123 0.626 0.626
0.000 0.000 0.000
0.250 0.250 0.250
```

Results
space-group type: F-43m (216)
energy relative to the elements: 0.248 eV/atom

The following is a DFT calculation (GGA-PBE) of crystalline TiBe2Au at its relaxed geometry.

```
TiBe2Au
1.0
-2.240 -2.147 0.587
2.238 -1.655 2.488
-2.143 6.218 6.065
Ti Be Au
2 4 2
Direct
0.296 0.750 0.593
0.704 0.250 0.407
0.153 0.750 0.305
0.847 0.250 0.695
0.554 0.750 0.108
0.446 0.250 0.892
0.935 0.750 0.871
0.065 0.250 0.129
```

Results
space-group type: Cmcm (63)
energy relative to the elements: -0.156 eV/atom

The following is a DFT calculation (GGA-PBE) of crystalline CuSi2 at its relaxed geometry.

```
CuSi2
1.0
2.342 -3.765 -4.210
3.187 -1.392 -5.028
5.178 -1.295 1.591
Cu Si
2 4
Direct
0.395 0.395 0.990
0.605 0.605 0.010
0.053 0.053 0.657
0.726 0.726 0.295
0.947 0.947 0.343
0.274 0.274 0.705
```

Results
space-group type: C2/m (12)
total DFT energy (no corrections): -4.7183 eV/atom

The following is a DFT calculation (GGA-PBE) of crystalline VInTe2N at its relaxed geometry.

```
VInTe2N
1.0
-4.689 2.025 2.760
-2.581 -5.166 -0.594
1.552 -1.178 3.501
N V Te In
1 1 2 1
Direct
0.000 0.000 0.500
0.500 0.500 0.500
0.000 0.500 0.000
0.500 0.000 0.000
0.000 0.000 0.000
```

Results
space-group type: P4/mmm (123)
total DFT energy (no corrections): -4.1952 eV/atom

The following is a DFT calculation (GGA-PBE) of crystalline Ho3Ge13Ir4 at its relaxed geometry.

```
Ho3Ge13Ir4
1.0
-1.623 4.873 7.429
0.303 -7.517 4.997
8.879 1.147 1.188
Ho Ge Ir
6 26 8
Direct
0.000 0.500 0.750
0.500 0.250 0.000
0.750 0.000 0.500
0.000 0.500 0.250
0.500 0.750 0.000
0.250 0.000 0.500
0.500 0.500 0.500
0.000 0.000 0.000
0.808 0.355 0.500
0.645 0.500 0.808
0.500 0.192 0.645
0.192 0.645 0.500
0.355 0.500 0.192
0.500 0.808 0.355
0.808 0.645 0.500
0.645 0.500 0.192
0.192 0.355 0.500
0.355 0.500 0.808
0.500 0.808 0.645
0.500 0.192 0.355
0.308 0.000 0.855
0.145 0.308 0.000
0.000 0.145 0.692
0.692 0.000 0.145
0.855 0.692 0.000
0.000 0.855 0.308
0.308 0.000 0.145
0.145 0.692 0.000
0.692 0.000 0.855
0.855 0.308 0.000
0.000 0.145 0.308
0.000 0.855 0.692
0.750 0.250 0.750
0.250 0.750 0.250
0.750 0.750 0.250
0.250 0.250 0.750
0.250 0.750 0.750
0.750 0.250 0.250
0.250 0.250 0.250
0.750 0.750 0.750
```

Results
space-group type: Pm-3n (223)
energy relative to the elements: -0.511 eV/atom

The following is a DFT calculation (GGA-PBE) of crystalline LiZrRh2 at its relaxed geometry.

```
LiZrRh2
1.0
8.095 0.026 0.015
7.474 3.107 0.015
7.474 1.504 2.719
Li Rh Zr
1 2 1
Direct
0.750 0.750 0.750
0.999 0.999 0.999
0.501 0.501 0.501
0.250 0.250 0.250
```

Results
space-group type: R-3m (166)
energy relative to the elements: -0.289 eV/atom

| no. | density of states at the Fermi level (states/eV/f.u.) |
| --- | --- |
| 1 | 3.1 |
| 2 | 5.1 |
| 3 | 3.1 |
| 4 | 2.3 |
| 5 | 0.5 |
| 6 | 6.5 |
| 7 | 6.2 |
| 8 | 3.3 |